{"formula": "TmPd7Au3", "functional": "GGA-PBE", "state": "relaxed", "lattice_angstrom": [[5.671, 0.000, 0.000], [-2.835, 4.911, 0.000], [0.000, 0.000, 7.001]], "species": ["Tm", "Pd", "Pd", "Pd", "Pd", "Pd", "Pd", "Pd", "Au", "Au", "Au"], "frac_coords": [[0.000, 0.000, 0.000], [0.003, 0.502, 0.977], [0.171, 0.341, 0.316], [0.171, 0.829, 0.316], [0.498, 0.502, 0.977], [0.498, 0.997, 0.977], [0.659, 0.829, 0.316], [0.667, 0.333, 0.300], [0.335, 0.167, 0.642], [0.833, 0.167, 0.642], [0.833, 0.665, 0.642]], "magmom_total_mub_per_fu": 0.0, "rho_g_cm3": 12.81, "crystal_system": "trigonal", "sg": "P3m1, No. 156", "ef_ev_per_atom": -0.284}